Record 1
# BeTlAs2, optimized geometry, DFT GGA-PBE
data_BeTlAs2
_symmetry_space_group_name_H-M 'P 1'
_symmetry_Int_Tables_number 1
_symmetry_space_group_name_Hall 'P 1'
_cell_length_a 6.3723
_cell_length_b 6.3723
_cell_length_c 6.3723
_cell_angle_alpha 145.38
_cell_angle_beta 145.38
_cell_angle_gamma 49.77
loop_
_atom_site_label
_atom_site_type_symbol
_atom_site_fract_x
_atom_site_fract_y
_atom_site_fract_z
_atom_site_occupancy
Be1 Be 0.0000 0.0000 0.0000 1
Tl1 Tl 0.5000 0.5000 0.0000 1
As1 As 0.2500 0.7500 0.5000 1
As2 As 0.7500 0.2500 0.5000 1
# Space group   No. 139
# Calculated formation energy   0.6082 eV/atom
# DOS(E_F)   0.4042 states/eV per atom
# Polymorph energy (0 for the lowest one)   621 meV/atom



Record 2
# InTcN2F, optimized geometry, DFT GGA-PBE
data_InTcN2F
_symmetry_space_group_name_H-M 'P 1'
_symmetry_Int_Tables_number 1
_symmetry_space_group_name_Hall 'P 1'
_cell_length_a 4.1953
_cell_length_b 4.1953
_cell_length_c 4.0350
_cell_angle_alpha 90.00
_cell_angle_beta 90.00
_cell_angle_gamma 90.00
loop_
_atom_site_label
_atom_site_type_symbol
_atom_site_fract_x
_atom_site_fract_y
_atom_site_fract_z
_atom_site_occupancy
In1 In 0.0000 0.0000 0.0000 1
Tc1 Tc 0.5000 0.5000 0.5000 1
N1 N 0.0000 0.5000 0.0000 1
N2 N 0.5000 0.0000 0.0000 1
F1 F 0.0000 0.0000 0.5000 1
# Space group   No. 123
# Formation energy from raw total energies   1.071 eV/atom
# DOS(E_F)   0.4074 states/eV per atom
# Polymorph energy (0 for the lowest one)   1119 meV/atom



Record 3
# Sm2Hg4Au, optimized geometry, DFT GGA-PBE
data_Sm2Hg4Au
_symmetry_space_group_name_H-M 'P 1'
_symmetry_Int_Tables_number 1
_symmetry_space_group_name_Hall 'P 1'
_cell_length_a 7.9777
_cell_length_b 7.9777
_cell_length_c 7.9777
_cell_angle_alpha 38.27
_cell_angle_beta 38.27
_cell_angle_gamma 38.27
loop_
_atom_site_label
_atom_site_type_symbol
_atom_site_fract_x
_atom_site_fract_y
_atom_site_fract_z
_atom_site_occupancy
Sm1 Sm 0.2232 0.2232 0.2232 1
Sm2 Sm 0.7768 0.7768 0.7768 1
Hg1 Hg 0.0744 0.0744 0.0744 1
Hg2 Hg 0.3670 0.3670 0.3670 1
Hg3 Hg 0.6330 0.6330 0.6330 1
Hg4 Hg 0.9256 0.9256 0.9256 1
Au1 Au 0.5000 0.5000 0.5000 1
# Space group   No. 166
# Calculated formation energy   -0.3940 eV/atom
# DOS(E_F)   0.6263 states/eV per atom



Record 4
# In2OsPb, optimized geometry, DFT GGA-PBE
data_In2OsPb
_symmetry_space_group_name_H-M 'P 1'
_symmetry_Int_Tables_number 1
_symmetry_space_group_name_Hall 'P 1'
_cell_length_a 5.7052
_cell_length_b 5.7052
_cell_length_c 3.4660
_cell_angle_alpha 104.16
_cell_angle_beta 104.16
_cell_angle_gamma 116.83
loop_
_atom_site_label
_atom_site_type_symbol
_atom_site_fract_x
_atom_site_fract_y
_atom_site_fract_z
_atom_site_occupancy
In1 In 0.0000 0.5000 0.0000 1
In2 In 0.5000 0.0000 0.0000 1
Os1 Os 0.0000 0.0000 0.5000 1
Pb1 Pb 0.5000 0.5000 0.5000 1
# Space group   No. 12
# Calculated formation energy   0.7757 eV/atom
# DOS(E_F)   0.7916 states/eV per atom